# SrH3Au | the Alexandria database | GGA-PBEsol | relaxed
# DFT total energy = -3.476 eV per atom
# crystal system = cubic
data_SrH3Au
_chemical_formula_sum 'Sr1 H3 Au1'
_cell_length_a 3.895
_cell_length_b 3.895
_cell_length_c 3.895
_cell_angle_alpha 90.00
_cell_angle_beta 90.00
_cell_angle_gamma 90.00
_symmetry_space_group_name_H-M 'P m -3 m'
_symmetry_Int_Tables_number 221
_symmetry_space_group_name_Hall '-P 4 2 3'
loop_
_atom_site_label
_atom_site_fract_x
_atom_site_fract_y
_atom_site_fract_z
_atom_site_occupancy
Sr1 0.000 0.000 0.000 1
H1 0.000 0.500 0.500 1
Au1 0.500 0.500 0.500 1